# RbNpPbCl6

Crystalline RbNpPbCl6 at its relaxed geometry (PBE, Alexandria via LeMat-Bulk). Values from VASP.

Quantum ESPRESSO input file:
```
&SYSTEM
  ibrav = 0, nat = 18, ntyp = 4
/
ATOMIC_SPECIES
Cl 35.45 Cl.upf
Rb 85.47 Rb.upf
Np 237.00 Np.upf
Pb 207.20 Pb.upf
CELL_PARAMETERS angstrom
-2.1162 0.7868 -7.1372
6.4931 -3.3491 1.6313
-6.5092 -12.3424 0.5695
ATOMIC_POSITIONS crystal
Cl 0.3599 0.3775 0.8606
Cl 0.0176 0.6401 0.8606
Cl 0.3775 0.0176 0.1394
Cl 0.6401 0.6225 0.1394
Cl 0.6225 0.9824 0.8606
Cl 0.6401 0.0176 0.3606
Cl 0.9824 0.3599 0.1394
Cl 0.3599 0.9824 0.6394
Cl 0.0176 0.3775 0.6394
Cl 0.3775 0.3599 0.3606
Cl 0.9824 0.6225 0.3606
Cl 0.6225 0.6401 0.6394
Rb 0.0000 0.0000 0.0000
Rb 0.0000 0.0000 0.5000
Np 0.6667 0.3333 0.2500
Np 0.3333 0.6667 0.7500
Pb 0.6667 0.3333 0.7500
Pb 0.3333 0.6667 0.2500
```

Final energy (Ha/atom): -0.1764
SG: P-31c
Formation energy without anion corrections (eV/atom): -1.612
DOS(E_F) (states/eV/atom): 0.948